Crystalline Li2TlF at its relaxed geometry. Source: Alexandria via LeMat-Bulk, functional PBE.

```
data_Li2TlF
_space_group_name_H-M_alt 'P 4/m m m'
_space_group_IT_number 123
_space_group_name_Hall '-P 4 2'
_cell_length_a 2.9302
_cell_length_b 2.9302
_cell_length_c 7.4137
_cell_angle_alpha 90.00
_cell_angle_beta 90.00
_cell_angle_gamma 90.00
loop_
_atom_site_label
_atom_site_type_symbol
_atom_site_fract_x
_atom_site_fract_y
_atom_site_fract_z
Li1 Li 0.0000 0.0000 0.1708
Tl1 Tl 0.5000 0.5000 0.5000
F1 F 0.5000 0.5000 0.0000
```

Values from the calculation:
E above lowest polymorph   215 meV/atom
N(E_F)   0.26 states/eV per atom
Formation energy (no corrections)   -1.225 eV/atom